Entry 1:
HfHCl2 | PBE-GGA | optimized geometry

Cell: 3.269 3.269 29.883 Å, 90.00 90.00 120.00°
Element x y z (fractional)
Hf: 0.000 0.000 0.000
Hf: 0.333 0.667 0.667
Hf: 0.667 0.333 0.333
H: 0.000 0.000 0.500
H: 0.333 0.667 0.167
H: 0.667 0.333 0.833
Cl: 0.000 0.000 0.394
Cl: 0.000 0.000 0.606
Cl: 0.333 0.667 0.061
Cl: 0.333 0.667 0.273
Cl: 0.667 0.333 0.727
Cl: 0.667 0.333 0.939

Calculated values
The total energy is -4.731 eV per atom. The density of states at the Fermi level is 6.067 states/eV per cell.

=====

Entry 2:
HfH2Cl8 | PBE-GGA | optimized geometry

Cell: 8.789 8.789 5.413 Å, 96.46 96.46 56.54°
Element x y z (fractional)
Hf: 0.000 0.000 0.000
H: 0.264 0.264 0.965
H: 0.736 0.736 0.035
Cl: 0.145 0.145 0.213
Cl: 0.164 0.738 0.275
Cl: 0.262 0.836 0.725
Cl: 0.331 0.331 0.843
Cl: 0.669 0.669 0.157
Cl: 0.738 0.164 0.275
Cl: 0.836 0.262 0.725
Cl: 0.855 0.855 0.787

Calculated values
The total energy is -3.735 eV per atom.

=====

Entry 3:
HfHCl2 | PBE-GGA | optimized geometry

Cell: 9.609 9.609 3.797 Å, 90.00 90.00 90.00°
Element x y z (fractional)
Hf: 0.000 0.000 0.000
Hf: 0.000 0.500 0.250
Hf: 0.500 0.000 0.750
Hf: 0.500 0.500 0.500
H: 0.000 0.000 0.500
H: 0.000 0.500 0.750
H: 0.500 0.000 0.250
H: 0.500 0.500 0.000
Cl: 0.047 0.250 0.125
Cl: 0.250 0.547 0.375
Cl: 0.250 0.953 0.875
Cl: 0.453 0.250 0.625
Cl: 0.547 0.750 0.625
Cl: 0.750 0.047 0.875
Cl: 0.750 0.453 0.375
Cl: 0.953 0.750 0.125

Calculated values
The total energy is -5.191 eV per atom. The density of states at the Fermi level is 10.422 states/eV per cell.

=====

Entry 4:
Hf2HCl2 | PBE-GGA | optimized geometry

Cell: 10.031 10.031 5.757 Å, 96.50 96.50 19.08°
Element x y z (fractional)
Hf: 0.180 0.180 0.389
Hf: 0.314 0.314 0.085
Hf: 0.686 0.686 0.915
Hf: 0.820 0.820 0.611
H: 0.284 0.284 0.423
H: 0.716 0.716 0.577
Cl: 0.097 0.097 0.702
Cl: 0.408 0.408 0.802
Cl: 0.592 0.592 0.198
Cl: 0.903 0.903 0.298

Calculated values
For the excess energy over the best structure of this formula in the dataset, the calculation gives 0.00 kJ per mole of atoms. The density of states at the Fermi level is 2.299 states/eV per cell.